VASP calculation (PBE) on a relaxed Pm3PuTl4S8 crystal.

Calculated values
- Density of states at the Fermi level: 0.729 states/eV per atom
- Formation energy (no corrections): -1.39 eV per atom
- Calculated total energy: -93.3 eV per cell
- Mass density: 6.55 g cm⁻³

a b c (Å): 8.2779 8.8818 8.2780
angles (deg): 117.78 120.00 90.00
With the nearest neighbours (Å) after each atom.
Atoms (fractional coordinates):
S: 0.7374 0.7008 0.9692  1 Pu 2.80, 2 Pm 2.83
S: 0.2317 0.7008 0.9692  1 Pu 2.80, 2 Pm 2.83
S: 0.2317 0.7008 0.4635  1 Pu 2.80, 2 Pm 2.83
S: 0.2654 0.2963 0.5308  3 Pm 2.83
S: 0.7683 0.2992 0.0308  1 Pu 2.80, 2 Pm 2.83
S: 0.7683 0.2992 0.5365  1 Pu 2.80, 2 Pm 2.83
S: 0.7346 0.7037 0.4692  3 Pm 2.83
S: 0.2626 0.2992 0.0308  1 Pu 2.80, 2 Pm 2.83
Tl: 0.5000 0.0000 0.5000  6 S 3.26-3.27
Tl: 0.0000 0.0000 0.0000  6 S 3.26-3.27
Tl: 0.5000 0.0000 0.0000  6 S 3.29-3.30
Tl: 0.0000 0.0000 0.5000  6 S 3.26-3.27
Pu: 0.0000 0.5000 0.0000  6 S 2.80
Pm: 0.5000 0.5000 0.0000  6 S 2.83
Pm: 0.0000 0.5000 0.5000  6 S 2.83
Pm: 0.5000 0.5000 0.5000  6 S 2.83